Below is a relaxed Ba2Zn2GeO6 crystal, with properties calculated at the PBE-GGA level.

Cell lengths 5.8886, 5.8886, 16.2365 Å; angles 90.00, 90.00, 120.00 degrees
With the nearest neighbours (Å) after each atom.
Space group R-3m (No. 166, hexagonal axes)
Inequivalent atoms, fractional coordinates:
Ba: 0.0000 0.0000 0.2170 [6 per cell]  9 O 2.75-3.02
Zn: 0.0000 0.0000 0.4076 [6 per cell]  3 O 1.88
Ge: 0.0000 0.0000 0.0000 [3 per cell]  6 O 1.95
O: 0.0358 0.5179 0.7426 [18 per cell]  1 Zn 1.88, 1 Ge 1.95

Properties
Theoretical density (g cm⁻³): 5.87
Formation energy from raw total energies (eV per atom): -1.852
Crystal system: trigonal

Below is a relaxed Ba2ZrGeO6 crystal, with properties calculated at the PBE-GGA level.

Cell lengths 8.1938, 8.1938, 8.1938 Å; angles 90.00, 90.00, 90.00 degrees
With the nearest neighbours (Å) after each atom.
Space group Fm-3m (No. 225)
Inequivalent atoms, fractional coordinates:
Ba: 0.2500 0.2500 0.2500 [8 per cell]  12 O 2.90
Zr: 0.0000 0.0000 0.0000 [4 per cell]  6 O 2.13
Ge: 0.0000 0.0000 0.5000 [4 per cell]  6 O 1.96
O: 0.0000 0.0000 0.2602 [24 per cell]  1 Ge 1.96, 1 Zr 2.13

Properties
Theoretical density (g cm⁻³): 6.45
Formation energy from raw total energies (eV per atom): -2.691
Crystal system: cubic
DOS at the Fermi energy (states/eV/f.u.): 0.00